This record from Alexandria describes a geometry-optimized TbNi structure. The functional is GGA-PBE.

Cell and atoms, written as extended XYZ:
```
4
Lattice="1.878 -5.106 0.000 1.878 5.106 0.000 0.000 0.000 4.213" Properties=species:S:1:pos:R:3 pbc="T T T"
Tb 1.878 3.688 3.160
Tb 1.878 -3.688 1.053
Ni 1.878 0.741 3.160
Ni 1.878 -0.741 1.053
```

Energy of formation from the pure elements ... -0.88 eV per formula unit
Density of states at the Fermi level ... 2.33 states/eV per cell
Total energy ... -22.6 eV/cell
Theoretical density ... 8.942 g/cm3
Symmetry ... Cmcm